1.
! Rb2CoCl6F, relaxed, DFT PBE with a Hubbard U; values from VASP
! VASP energy (eV for the cell shown): -30.3
! Symmetry: I4/mmm (139)
! Spin magnetization (μB per formula unit): 2.056
&SYSTEM
  ibrav = 0, nat = 10, ntyp = 4
/
ATOMIC_SPECIES
Rb 85.47 Rb.upf
Co 58.93 Co.upf
Cl 35.45 Cl.upf
F 19.00 F.upf
ATOMIC_POSITIONS angstrom
Rb 3.730 0.000 2.481
Rb 0.000 3.730 2.481
Co 0.000 0.000 0.000
Cl 1.556 1.556 0.000
Cl 2.175 -2.175 4.962
Cl 0.000 0.000 2.899
Cl 0.000 0.000 7.024
Cl -2.175 2.175 4.962
Cl 2.175 2.175 4.962
F 0.000 0.000 4.962
CELL_PARAMETERS angstrom
-3.730 3.730 4.962
3.730 -3.730 4.962
3.730 3.730 -4.962

***

2.
! Rb3CoCl2F6, relaxed, DFT PBE with a Hubbard U; values from VASP
! VASP energy (eV for the cell shown): -45.3
! Symmetry: C2/m (12)
! Spin magnetization (μB per formula unit): 1.208
&SYSTEM
  ibrav = 0, nat = 12, ntyp = 4
/
ATOMIC_SPECIES
Rb 85.47 Rb.upf
Co 58.93 Co.upf
Cl 35.45 Cl.upf
F 19.00 F.upf
ATOMIC_POSITIONS angstrom
Rb 0.000 0.000 0.000
Rb 3.469 1.582 3.035
Rb 3.469 -1.582 3.035
Co 6.977 0.000 3.035
Cl 3.350 0.000 0.065
Cl 10.604 0.000 6.005
F 6.144 1.303 2.073
F 7.810 1.303 3.997
F 5.549 0.000 4.159
F 8.405 0.000 1.911
F 6.144 -1.303 2.073
F 7.810 -1.303 3.997
CELL_PARAMETERS angstrom
7.016 -3.163 0.000
7.016 3.163 0.000
-0.078 0.000 6.070